1.
VASP calculation (GGA-PBE) on a relaxed TbNiC2 crystal.

## Properties
The value obtained for the formation energy is -31.8 kJ per mole of atoms. The calculation puts the volume at 12.33 Å³/atom. The energy is -7.54 eV/atom.

The structure in POSCAR format:
```
TbNiC2
1.0
-1.587 -3.222 -1.130
2.258 1.098 -2.806
2.735 -1.863 1.472
Ni C Tb
1 2 1
Direct
0.389 0.611 0.500
0.851 0.452 0.500
0.548 0.149 0.500
0.000 0.000 0.000
```

2.
VASP calculation (GGA-PBE) on a relaxed KRePb2 crystal.

## Properties
The value obtained for the formation energy is 73.0 kJ per mole of atoms. The calculation puts the volume at 29.67 Å³/atom. The energy is -4.48 eV/atom.

The structure in POSCAR format:
```
KRePb2
1.0
7.022 -0.103 -0.010
3.423 6.132 0.010
-4.048 -5.049 2.728
K Pb Re
1 2 1
Direct
0.250 0.750 0.500
0.948 0.948 0.000
0.552 0.552 0.000
0.750 0.250 0.500
```

3.
VASP calculation (GGA-PBE) on a relaxed CaCeBi crystal.

## Properties
The value obtained for the formation energy is -34.8 kJ per mole of atoms. The calculation puts the volume at 32.57 Å³/atom. The energy is -4.30 eV/atom.

The structure in POSCAR format:
```
CaCeBi
1.0
4.191 0.000 0.000
0.000 4.191 0.000
-2.096 -2.096 5.562
Ca Bi Ce
1 1 1
Direct
0.967 0.967 0.933
0.616 0.616 0.232
0.267 0.267 0.535
```

4.
VASP calculation (GGA-PBE) on a relaxed Ba3In3Pd2 crystal.

## Properties
The value obtained for the formation energy is -48.2 kJ per mole of atoms. The calculation puts the volume at 31.37 Å³/atom. The energy is -3.55 eV/atom.

The structure in POSCAR format:
```
Ba3In3Pd2
1.0
6.386 0.000 0.000
0.000 9.050 0.000
0.000 0.000 17.369
Ba In Pd
12 12 8
Direct
0.103 0.463 0.393
0.603 0.037 0.607
0.897 0.537 0.893
0.397 0.963 0.107
0.897 0.537 0.607
0.397 0.963 0.393
0.103 0.463 0.107
0.603 0.037 0.893
0.601 0.315 0.250
0.101 0.185 0.750
0.399 0.685 0.750
0.899 0.815 0.250
0.087 0.163 0.250
0.587 0.337 0.750
0.913 0.837 0.750
0.413 0.663 0.250
0.597 0.329 0.463
0.097 0.171 0.537
0.403 0.671 0.963
0.903 0.829 0.037
0.403 0.671 0.537
0.903 0.829 0.463
0.597 0.329 0.037
0.097 0.171 0.963
0.883 0.116 0.396
0.383 0.384 0.604
0.117 0.884 0.896
0.617 0.616 0.104
0.117 0.884 0.604
0.617 0.616 0.396
0.883 0.116 0.104
0.383 0.384 0.896
```